{"formula": "BiRhSe", "functional": "PBE-GGA", "state": "optimized geometry", "dos_ef_per_ev_fu": 1.00, "formation_energy_uncorrected_mev_per_atom": -376, "crystal_system": "monoclinic", "lattice": [[-4.490, 2.899, -3.507], [-1.429, -5.786, -2.953], [-3.918, 0.369, 5.322]], "species": ["Se", "Bi", "Bi", "Bi", "Rh", "Se", "Rh", "Rh", "Se", "Se", "Bi", "Rh"], "frac_coords": [[0.869, 0.358, 0.644], [0.368, 0.642, 0.854], [0.632, 0.358, 0.146], [0.132, 0.142, 0.854], [0.487, 0.759, 0.267], [0.131, 0.642, 0.356], [0.013, 0.259, 0.267], [0.987, 0.741, 0.733], [0.369, 0.142, 0.356], [0.631, 0.858, 0.644], [0.868, 0.858, 0.146], [0.513, 0.241, 0.733]]}